# 1
Here is a relaxed PuAlZn crystal from OQMD. Energies are from PBE-GGA.

Unit cell a=4.5777 b=4.5777 c=4.5777 alpha=60.00 beta=60.00 gamma=60.00
Last column: nearest neighbours and their distance in Å.
Fractional coordinates of all 3 atoms:
Al  0.5000  0.5000  0.5000  4 Zn 2.80
Pu  0.0000  0.0000  0.0000  4 Zn 2.80
Zn  0.2500  0.2500  0.2500  4 Pu 2.80, 4 Al 2.80

Output
Spin magnetization, μB/cell: 5.16
Total DFT energy (no corrections), eV/atom: -6.39

=====

# 2
Here is a relaxed PrTm2S2 crystal from OQMD. Energies are from PBE-GGA.

Unit cell a=11.4855 b=6.0170 c=12.6816 alpha=64.74 beta=28.28 gamma=86.97
Last column: nearest neighbours and their distance in Å.
Fractional coordinates of all 10 atoms:
Pr  0.3834  0.3834  0.6166  4 S 2.83-2.84
Pr  0.6334  0.6334  0.8666  4 S 2.83-2.84
S  0.7946  0.9732  0.0205  2 Tm 2.66, 2 Pr 2.83-2.84
S  0.9732  0.7946  0.2117  2 Tm 2.66, 2 Pr 2.83-2.84
S  0.0383  0.2295  0.2768  2 Tm 2.66, 2 Pr 2.83-2.84
S  0.2295  0.0383  0.4554  2 Tm 2.66, 2 Pr 2.83-2.84
Tm  0.8089  0.4591  0.0391  2 S 2.66
Tm  0.2109  0.5571  0.4411  2 S 2.66
Tm  0.4591  0.8089  0.6929  2 S 2.66
Tm  0.5571  0.2109  0.7909  2 S 2.66

Output
Spin magnetization, μB/cell: 0.25
Total DFT energy (no corrections), eV/atom: -5.68

=====

# 3
Here is a relaxed RbPtSeS2 crystal from OQMD. Energies are from PBE-GGA.

Unit cell a=6.9484 b=6.9906 c=7.0411 alpha=68.47 beta=64.29 gamma=69.57
Last column: nearest neighbours and their distance in Å.
Fractional coordinates of all 10 atoms:
Pt  0.7773  0.4754  0.4615  4 S 2.33-2.38, 1 Se 2.46
Pt  0.2227  0.5246  0.5385  4 S 2.33-2.38, 1 Se 2.46
Rb  0.6386  0.1881  0.1538  5 S 3.43-3.72, 3 Se 3.56-3.76, 1 Pt 3.79
Rb  0.3614  0.8119  0.8462  5 S 3.43-3.72, 3 Se 3.56-3.76, 1 Pt 3.79
S  0.5016  0.7046  0.3156  2 Pt 2.33-2.38
S  0.9643  0.7410  0.3709  2 Pt 2.35-2.37
S  0.0357  0.2590  0.6291  2 Pt 2.35-2.37
S  0.4984  0.2954  0.6844  2 Pt 2.33-2.38
Se  0.0681  0.3688  0.1360  1 Se 2.39, 1 Pt 2.46
Se  0.9319  0.6312  0.8640  1 Se 2.39, 1 Pt 2.46

Output
Spin magnetization, μB/cell: 0.00
Total DFT energy (no corrections), eV/atom: -4.23

=====

# 4
Here is a relaxed SmFe3BPt crystal from OQMD. Energies are from PBE-GGA.

Unit cell a=5.1809 b=5.1809 c=7.2551 alpha=90.00 beta=90.00 gamma=120.00
Last column: nearest neighbours and their distance in Å.
Fractional coordinates of all 12 atoms:
B  0.6667  0.3333  0.5000  6 Fe 2.09
B  0.3333  0.6667  0.5000  6 Fe 2.09
Fe  0.5000  0.0000  0.2993  2 B 2.09
Fe  0.0000  0.5000  0.2993  2 B 2.09
Fe  0.5000  0.5000  0.2993  2 B 2.09
Fe  0.5000  0.0000  0.7007  2 B 2.09
Fe  0.0000  0.5000  0.7007  2 B 2.09
Fe  0.5000  0.5000  0.7007  2 B 2.09
Pt  0.6667  0.3333  0.0000  6 Fe 2.64
Pt  0.3333  0.6667  0.0000  6 Fe 2.64
Sm  0.0000  0.0000  0.0000  6 Pt 2.99
Sm  0.0000  0.0000  0.5000  12 Fe 2.97, 6 B 2.99

Output
Spin magnetization, μB/cell: 11.58
Total DFT energy (no corrections), eV/atom: -7.43

=====

# 5
Here is a relaxed Zr5CuPb3 crystal from OQMD. Energies are from PBE-GGA.

Unit cell a=8.7858 b=8.7858 c=5.9546 alpha=90.00 beta=90.00 gamma=120.00
Last column: nearest neighbours and their distance in Å.
Fractional coordinates of all 18 atoms:
Cu  0.0000  0.0000  0.0000  6 Zr 2.72, 2 Cu 2.98
Cu  0.0000  0.0000  0.5000  6 Zr 2.72, 2 Cu 2.98
Pb  0.6138  0.0000  0.2500  9 Zr 3.00-3.18
Pb  0.3862  0.3862  0.2500  9 Zr 3.00-3.18
Pb  0.0000  0.6138  0.2500  9 Zr 3.00-3.18
Pb  0.3862  0.0000  0.7500  9 Zr 3.00-3.18
Pb  0.0000  0.3862  0.7500  9 Zr 3.00-3.18
Pb  0.6138  0.6138  0.7500  9 Zr 3.00-3.18
Zr  0.6667  0.3333  0.0000  2 Zr 2.98, 6 Pb 3.11
Zr  0.3333  0.6667  0.0000  2 Zr 2.98, 6 Pb 3.11
Zr  0.2592  0.0000  0.2500  2 Cu 2.72, 2 Pb 3.00
Zr  0.0000  0.2592  0.2500  2 Cu 2.72, 2 Pb 3.00
Zr  0.7408  0.7408  0.2500  2 Cu 2.72, 2 Pb 3.00
Zr  0.6667  0.3333  0.5000  2 Zr 2.98, 6 Pb 3.11
Zr  0.3333  0.6667  0.5000  2 Zr 2.98, 6 Pb 3.11
Zr  0.7408  0.0000  0.7500  2 Cu 2.72, 2 Pb 3.00
Zr  0.2592  0.2592  0.7500  2 Cu 2.72, 2 Pb 3.00
Zr  0.0000  0.7408  0.7500  2 Cu 2.72, 2 Pb 3.00

Output
Spin magnetization, μB/cell: 0.01
Total DFT energy (no corrections), eV/atom: -6.69

=====

# 6
Here is a relaxed Dy2O3 crystal from OQMD. Energies are from PBE-GGA.

Unit cell a=9.1751 b=9.1751 c=9.1751 alpha=109.47 beta=109.47 gamma=109.47
Last column: nearest neighbours and their distance in Å.
Fractional coordinates of all 40 atoms:
Dy  0.5000  0.0000  0.0000  6 O 2.28
Dy  0.0000  0.5000  0.0000  6 O 2.28
Dy  0.7823  0.7500  0.0323  6 O 2.24-2.34
Dy  0.7500  0.4677  0.2177  6 O 2.24-2.34
Dy  0.0323  0.2823  0.2500  6 O 2.24-2.34
Dy  0.5323  0.7823  0.2500  6 O 2.24-2.34
Dy  0.2500  0.0323  0.2823  6 O 2.24-2.34
Dy  0.7177  0.2500  0.4677  6 O 2.24-2.34
Dy  0.0000  0.0000  0.5000  6 O 2.28
Dy  0.5000  0.5000  0.5000  6 O 2.28
Dy  0.2823  0.7500  0.5323  6 O 2.24-2.34
Dy  0.7500  0.9677  0.7177  6 O 2.24-2.34
Dy  0.4677  0.2177  0.7500  6 O 2.24-2.34
Dy  0.9677  0.7177  0.7500  6 O 2.24-2.34
Dy  0.2500  0.5323  0.7823  6 O 2.24-2.34
Dy  0.2177  0.2500  0.9677  6 O 2.24-2.34
O  0.4691  0.2399  0.0121  4 Dy 2.24-2.34
O  0.0430  0.7707  0.0309  4 Dy 2.24-2.34
O  0.2707  0.5309  0.0430  4 Dy 2.24-2.34
O  0.4570  0.9879  0.2278  4 Dy 2.24-2.34
O  0.2722  0.2601  0.2293  4 Dy 2.24-2.34
O  0.7707  0.2278  0.2399  4 Dy 2.24-2.34
O  0.9879  0.0309  0.2601  4 Dy 2.24-2.34
O  0.0309  0.5430  0.2707  4 Dy 2.24-2.34
O  0.7601  0.7293  0.2722  4 Dy 2.24-2.34
O  0.4879  0.7278  0.4570  4 Dy 2.24-2.34
O  0.7399  0.5121  0.4691  4 Dy 2.24-2.34
O  0.2278  0.9570  0.4879  4 Dy 2.24-2.34
O  0.7722  0.0430  0.5121  4 Dy 2.24-2.34
O  0.2601  0.4879  0.5309  4 Dy 2.24-2.34
O  0.5121  0.2722  0.5430  4 Dy 2.24-2.34
O  0.2399  0.2707  0.7278  4 Dy 2.24-2.34
O  0.9691  0.4570  0.7293  4 Dy 2.24-2.34
O  0.0121  0.9691  0.7399  4 Dy 2.24-2.34
O  0.2293  0.7722  0.7601  4 Dy 2.24-2.34
O  0.7278  0.7399  0.7707  4 Dy 2.24-2.34
O  0.5430  0.0121  0.7722  4 Dy 2.24-2.34
O  0.7293  0.4691  0.9570  4 Dy 2.24-2.34
O  0.9570  0.2293  0.9691  4 Dy 2.24-2.34
O  0.5309  0.7601  0.9879  4 Dy 2.24-2.34

Output
Spin magnetization, μB/cell: 0.00
Total DFT energy (no corrections), eV/atom: -8.40

=====

# 7
Here is a relaxed TaF5 crystal from OQMD. Energies are from PBE-GGA.

Unit cell a=4.5957 b=5.0603 c=7.1427 alpha=107.05 beta=90.82 gamma=115.96
Last column: nearest neighbours and their distance in Å.
Fractional coordinates of all 12 atoms:
F  0.7554  0.8149  0.0446  2 Ta 2.08
F  0.8606  0.3934  0.1444  1 Ta 1.88
F  0.3227  0.9933  0.2478  1 Ta 1.88
F  0.4903  0.6123  0.3463  1 Ta 1.85
F  0.9152  0.1984  0.4570  1 Ta 1.85
F  0.0848  0.8016  0.5430  1 Ta 1.85
F  0.5097  0.3877  0.6537  1 Ta 1.85
F  0.6773  0.0067  0.7522  1 Ta 1.88
F  0.1394  0.6066  0.8556  1 Ta 1.88
F  0.2446  0.1851  0.9554  2 Ta 2.08
Ta  0.1156  0.2376  0.2374  4 F 1.85-1.88
Ta  0.8844  0.7624  0.7626  4 F 1.85-1.88

Output
Spin magnetization, μB/cell: 0.00
Total DFT energy (no corrections), eV/atom: -6.63

=====

# 8
Here is a relaxed HfTcPb2 crystal from OQMD. Energies are from PBE-GGA.

Unit cell a=4.9887 b=4.9887 c=4.9887 alpha=60.00 beta=60.00 gamma=60.00
Last column: nearest neighbours and their distance in Å.
Fractional coordinates of all 4 atoms:
Hf  0.0000  0.0000  0.0000  4 Tc 3.05, 4 Pb 3.05
Pb  0.5000  0.5000  0.5000  4 Tc 3.05, 4 Pb 3.05
Pb  0.7500  0.7500  0.7500  4 Hf 3.05, 4 Pb 3.05
Tc  0.2500  0.2500  0.2500  4 Pb 3.05, 4 Hf 3.05

Output
Spin magnetization, μB/cell: 0.00
Total DFT energy (no corrections), eV/atom: -6.45

=====

# 9
Here is a relaxed PaHg crystal from OQMD. Energies are from PBE-GGA.

Unit cell a=4.3486 b=4.3486 c=4.3486 alpha=60.00 beta=60.00 gamma=60.00
Last column: nearest neighbours and their distance in Å.
Fractional coordinates of all 2 atoms:
Hg  0.0000  0.0000  0.0000  6 Pa 3.07
Pa  0.5000  0.5000  0.5000  6 Hg 3.07

Output
Spin magnetization, μB/cell: 1.30
Total DFT energy (no corrections), eV/atom: -4.25

=====

# 10
Here is a relaxed Pr3P11 crystal from OQMD. Energies are from PBE-GGA.

Unit cell a=8.4755 b=8.4755 c=5.8972 alpha=97.96 beta=97.96 gamma=51.41
Last column: nearest neighbours and their distance in Å.
Fractional coordinates of all 14 atoms:
P  0.3739  0.0632  0.2925  2 P 2.18-2.28
P  0.0632  0.3739  0.2925  2 P 2.18-2.28
P  0.8486  0.8486  0.4606  2 P 2.21
P  0.7004  0.1755  0.5088  2 P 2.15-2.21
P  0.1755  0.7004  0.5088  2 P 2.15-2.21
P  0.9382  0.4019  0.6074  2 P 2.18
P  0.4019  0.9382  0.6074  2 P 2.18
P  0.1838  0.1838  0.8414  2 P 2.18
P  0.7132  0.2277  0.8765  2 P 2.15-2.21
P  0.2277  0.7132  0.8765  2 P 2.15-2.21
P  0.5521  0.5521  0.9800  2 P 2.21
Pr  0.3781  0.3781  0.1498  8 P 2.91-3.23
Pr  0.0412  0.0412  0.2406  8 P 2.91-3.19
Pr  0.7463  0.7463  0.9569  6 P 2.96-3.28

Output
Spin magnetization, μB/cell: 0.01
Total DFT energy (no corrections), eV/atom: -5.70

=====

# 11
Here is a relaxed InAsIrO crystal from OQMD. Energies are from PBE-GGA.

Unit cell a=4.1731 b=4.1731 c=8.0566 alpha=90.00 beta=90.00 gamma=90.00
Last column: nearest neighbours and their distance in Å.
Fractional coordinates of all 8 atoms:
As  0.7500  0.7500  0.2495  1 Ir 2.52
As  0.2500  0.2500  0.7505  1 Ir 2.52
In  0.7500  0.2500  0.5000  4 As 2.90, 4 In 2.95
In  0.2500  0.7500  0.5000  4 As 2.90, 4 In 2.95
Ir  0.2500  0.2500  0.0635  4 O 2.15
Ir  0.7500  0.7500  0.9365  4 O 2.15
O  0.7500  0.2500  0.0000  4 Ir 2.15
O  0.2500  0.7500  0.0000  4 Ir 2.15

Output
Spin magnetization, μB/cell: 0.03
Total DFT energy (no corrections), eV/atom: -4.90

=====

no.,calculated volume (Å³ per atom)
1,22.61
2,24.69
3,27.92
4,14.05
5,22.11
6,14.86
7,11.73
8,21.95
9,29.07
10,23.37
11,17.54